Entry 1:
Here is PmY2Er after structural relaxation from Alexandria via LeMat-Bulk. Energies are from PBE-GGA.

Lattice parameters (Å, degrees): 3.5995 3.5995 34.6564 90.00 90.00 120.00
Space group R3m (No. 160, hexagonal axes)
Symmetry-distinct sites (fractional):
Pm1 0.0000 0.0000 0.0000
Y1 0.0000 0.0000 0.5814
Y2 0.0000 0.0000 0.7507
Er1 0.0000 0.0000 0.1659

Its total energy is -66.52 eV for the cell shown. The calculated formation energy comes out at 0.02 eV/atom.



Entry 2:
Here is PmY4Er2 after structural relaxation from Alexandria via LeMat-Bulk. Energies are from PBE-GGA.

Lattice parameters (Å, degrees): 16.6799 3.5460 8.7537 90.00 119.32 90.00
Space group C2/m (No. 12)
Symmetry-distinct sites (fractional):
Pm1 0.0000 0.0000 0.0000
Y1 0.1400 0.5000 0.8309
Y2 0.2048 0.5000 0.2938
Er1 0.0703 0.0000 0.4304

Its total energy is -79.08 eV for the cell shown. The calculated formation energy comes out at 0.03 eV/atom.



Q: Among the records above, which one has the lowest calculated formation energy?
A: PmY2Er



Q: Look up the calculated formation energy of the second one.
A: 0.03 eV/atom



Q: Which of these has the highest calculated formation energy?
A: PmY4Er2